ZnHg (PBEsol, relaxed); raw total energy = -0.95 eV/atom; SG = I4_1/amd, No. 141; ΔH_f (0 K) = 121.4 meV/atom
1.0
4.142 0.000 0.000
0.000 4.142 0.000
-2.071 -2.071 4.293
Hg Zn
2 2
Direct
0.000 0.000 0.000
0.250 0.750 0.500
0.750 0.250 0.500
0.500 0.500 0.000